Below is a relaxed structure of CaRhCl, with properties calculated at the PBE level.

Output
final energy	-4.22	eV/atom
energy above the lowest structure with this stoichiometry	690	meV/atom

Lattice parameters (Å, degrees): 6.1527 6.1544 3.2468 74.68 74.73 30.59
Last column: nearest neighbours and their distance in Å.
Fractional coordinates of all 3 atoms:
Cl (0.3433, 0.3433, 0.6567)  4 Ca 2.87, 4 Rh 3.09
Rh (0.6625, 0.6625, 0.3375)  4 Ca 2.99-3.00, 4 Cl 3.09, 4 Rh 3.25
Ca (0.9942, 0.9942, 0.0058)  4 Cl 2.87, 4 Rh 2.99-3.00